No. 1
## NpCdAu2 (PBE-GGA)

Data for an optimized crystal structure of NpCdAu2.

a = 4.9954 Å, b = 4.9954 Å, c = 4.9968 Å
α = 60.01°, β = 60.01°, γ = 60.00°
Last column: nearest neighbours and their distance in Å.
Atoms (fractional coordinates):
Au  0.4998  0.4999  0.5004  4 Cd 3.06, 4 Np 3.06
Cd  0.7500  0.7500  0.7500  8 Au 3.06
Au  0.0002  0.0001  0.9996  4 Cd 3.06, 4 Np 3.06
Np  0.2500  0.2500  0.2500  8 Au 3.06

Results
- Calculated density: 14.00 g/cm³
- Calculated volume: 88.2 Å³/f.u.
- SG: Fm-3m, No. 225
- Raw total energy: -5.25 eV/atom

---

No. 2
## Y2CdGe2 (PBE-GGA)

Data for an optimized crystal structure of Y2CdGe2.

a = 4.2021 Å, b = 7.3376 Å, c = 7.3376 Å
α = 90.00°, β = 90.00°, γ = 90.00°
Last column: nearest neighbours and their distance in Å.
Atoms (fractional coordinates):
Y  0.5000  0.3217  0.1783  6 Ge 2.95-3.07
Y  0.5000  0.1783  0.6783  6 Ge 2.95-3.07
Y  0.5000  0.6783  0.8217  6 Ge 2.95-3.07
Ge  0.0000  0.1218  0.3782  1 Ge 2.53
Cd  0.0000  0.0000  0.0000  4 Ge 2.92
Ge  0.0000  0.6218  0.1218  1 Ge 2.53
Ge  0.0000  0.3782  0.8782  1 Ge 2.53
Cd  0.0000  0.5000  0.5000  4 Ge 2.92
Y  0.5000  0.8217  0.3217  6 Ge 2.95-3.07
Ge  0.0000  0.8782  0.6218  1 Ge 2.53

Results
- Calculated density: 6.39 g/cm³
- Calculated volume: 113.1 Å³/f.u.
- SG: P4/mbm, No. 127
- Raw total energy: -5.36 eV/atom

---

Question: The highest calculated volume belongs to which entry?
Answer: Y2CdGe2

---

Copy entry 2 word for word.
## Y2CdGe2 (PBE-GGA)

Data for an optimized crystal structure of Y2CdGe2.

a = 4.2021 Å, b = 7.3376 Å, c = 7.3376 Å
α = 90.00°, β = 90.00°, γ = 90.00°
Last column: nearest neighbours and their distance in Å.
Atoms (fractional coordinates):
Y  0.5000  0.3217  0.1783  6 Ge 2.95-3.07
Y  0.5000  0.1783  0.6783  6 Ge 2.95-3.07
Y  0.5000  0.6783  0.8217  6 Ge 2.95-3.07
Ge  0.0000  0.1218  0.3782  1 Ge 2.53
Cd  0.0000  0.0000  0.0000  4 Ge 2.92
Ge  0.0000  0.6218  0.1218  1 Ge 2.53
Ge  0.0000  0.3782  0.8782  1 Ge 2.53
Cd  0.0000  0.5000  0.5000  4 Ge 2.92
Y  0.5000  0.8217  0.3217  6 Ge 2.95-3.07
Ge  0.0000  0.8782  0.6218  1 Ge 2.53

Results
- Calculated density: 6.39 g/cm³
- Calculated volume: 113.1 Å³/f.u.
- SG: P4/mbm, No. 127
- Raw total energy: -5.36 eV/atom

---

Question: Which formula does entry 1 have?
Answer: NpCdAu2